Record 1
Compound: InTcRh
Source: Alexandria
Functional: PBE-GGA
Structure: relaxed

Calculated values
Its crystal system is orthorhombic. The space group is No. 44.

a = 5.0634 Å, b = 5.0634 Å, c = 5.0634 Å
α = 147.03°, β = 135.65°, γ = 56.35°
Element x y z (fractional)
Tc (0.6792, 0.6792, 0.0000)
Rh (0.3222, 0.3222, 0.0000)
In (0.9985, 0.9985, 0.0000)



Record 2
Compound: InTcRh
Source: Alexandria
Functional: PBE-GGA
Structure: relaxed

Calculated values
Its crystal system is trigonal. The space group is No. 156.

a = 2.9053 Å, b = 2.9053 Å, c = 6.7449 Å
α = 90.00°, β = 90.00°, γ = 120.00°
Element x y z (fractional)
Rh (0.6667, 0.3333, 0.3482)
Tc (0.3333, 0.6667, 0.6490)
In (0.0000, 0.0000, 0.0028)



Record 3
Compound: InTcRh
Source: Alexandria
Functional: PBE-GGA
Structure: relaxed

Calculated values
Its crystal system is tetragonal. The space group is No. 107.

a = 6.2141 Å, b = 6.2141 Å, c = 2.8869 Å
α = 76.57°, β = 76.57°, γ = 26.86°
Element x y z (fractional)
Rh (0.6783, 0.6783, 0.3217)
Tc (0.3206, 0.3206, 0.6794)
In (0.0011, 0.0011, 0.9989)



Record 4
Compound: InTcRh
Source: Alexandria
Functional: PBE-GGA
Structure: relaxed

Calculated values
Its crystal system is monoclinic. The space group is No. 3.

a = 4.6025 Å, b = 2.9713 Å, c = 7.2375 Å
α = 90.00°, β = 98.01°, γ = 90.00°
Element x y z (fractional)
Rh (0.7850, 0.5211, 0.6823)
Rh (0.2150, 0.5211, 0.3177)
In (0.7180, 0.0059, 0.3404)
In (0.2820, 0.0059, 0.6596)
Tc (0.5000, 0.4279, 0.0000)
Tc (0.0000, 0.0454, 0.0000)



no.,energy of formation from the pure elements (eV/atom)
1,0.121
2,0.135
3,-0.024
4,-0.016